Compound: Cs2NaTe
Source: the Alexandria database
Functional: GGA-PBE
Structure: relaxed

Values from the calculation:
N(E_F)   0.91 states/eV/f.u.
Formation energy without anion corrections   -535 meV/atom
Calculated volume   199.1 Å³/cell
ΔE to the lowest computed polymorph   1 meV/atom
Total magnetic moment   0.9 μB/cell

Cell: 6.5540 6.5540 6.5540 Å, 60.00 60.00 60.00°
Element x y z (fractional)
1 Cs 0.2500 0.2500 0.2500
2 Cs 0.7500 0.7500 0.7500
3 Na 0.0000 0.0000 0.0000
4 Te 0.5000 0.5000 0.5000

***

Compound: CsNa3Te
Source: the Alexandria database
Functional: GGA-PBE
Structure: relaxed

Values from the calculation:
N(E_F)   1.58 states/eV/f.u.
Formation energy without anion corrections   468 meV/atom
Calculated volume   268.8 Å³/cell
ΔE to the lowest computed polymorph   844 meV/atom
Total magnetic moment   0.0 μB/cell

Cell: 6.4536 6.4536 6.4536 Å, 90.00 90.00 90.00°
Element x y z (fractional)
1 Cs 0.0000 0.0000 0.0000
2 Na 0.0000 0.0000 0.5000
3 Na 0.0000 0.5000 0.0000
4 Na 0.5000 0.0000 0.0000
5 Te 0.5000 0.5000 0.5000

***

Compound: Cs2NaTe
Source: the Alexandria database
Functional: GGA-PBE
Structure: relaxed

Values from the calculation:
N(E_F)   1.84 states/eV/f.u.
Formation energy without anion corrections   -537 meV/atom
Calculated volume   188.9 Å³/cell
ΔE to the lowest computed polymorph   0 meV/atom
Total magnetic moment   0.5 μB/cell

Cell: 5.8869 5.8869 5.4506 Å, 90.00 90.00 90.00°
Element x y z (fractional)
1 Cs 0.0000 0.5000 0.0000
2 Cs 0.5000 0.0000 0.0000
3 Na 0.0000 0.0000 0.5000
4 Te 0.5000 0.5000 0.5000